This record from Alexandria describes an optimized crystal structure of La2TbSm5Ho. The functional is PBE.

The calculation puts the formation energy at 1.18 eV/f.u.

abc: 5.716 20.197 10.810
angles: 90.00 90.00 90.00
Space group Cmc2_1 (No. 36)
One atom of each set of equivalent atoms:
La (0.000, 0.114, 0.000) [4 per cell]
La (0.000, 0.117, 0.584) [4 per cell]
Tb (0.000, 0.410, 0.728) [4 per cell]
Sm (0.000, 0.016, 0.288) [4 per cell]
Sm (0.000, 0.280, 0.577) [4 per cell]
Sm (0.000, 0.297, 0.971) [4 per cell]
Sm (0.000, 0.386, 0.288) [4 per cell]
Sm (0.000, 0.481, 0.008) [4 per cell]
Ho (0.000, 0.201, 0.276) [4 per cell]